one | VASP calculation (GGA-PBE) on a relaxed structure of MnCo2W.

Cell: 4.1049 4.1049 4.1049 Å, 60.00 60.00 60.00°
Atoms (fractional coordinates):
Mn 0.0000 0.0000 0.0000
Co 0.2500 0.2500 0.2500
Co 0.5000 0.5000 0.5000
W 0.7500 0.7500 0.7500



two | VASP calculation (GGA-PBE) on a relaxed structure of MnCo2W.

Cell: 2.6551 3.4543 5.2867 Å, 90.00 90.00 90.00°
Atoms (fractional coordinates):
Mn 0.0000 0.0000 0.0000
Co 0.0000 0.0000 0.5464
Co 0.5000 0.5000 0.7839
W 0.5000 0.5000 0.2875



Most stable: two. Least stable: one.



one | VASP calculation (GGA-PBE) on a relaxed structure of MnCo2W.

Cell: 8.4237 8.4237 8.4237 Å, 18.38 18.38 18.38°
Atoms (fractional coordinates):
Mn 0.0000 0.0000 0.0000
Co 0.2532 0.2532 0.2532
Co 0.7468 0.7468 0.7468
W 0.5000 0.5000 0.5000



two | VASP calculation (GGA-PBE) on a relaxed structure of MnCo2W.

Cell: 4.1636 4.1636 4.1636 Å, 60.00 60.00 60.00°
Atoms (fractional coordinates):
Mn 0.0000 0.0000 0.0000
Co 0.2500 0.2500 0.2500
Co 0.7500 0.7500 0.7500
W 0.5000 0.5000 0.5000



three | VASP calculation (GGA-PBE) on a relaxed structure of MnCo2W.

Cell: 4.8024 4.8024 2.5996 Å, 100.19 100.19 116.42°
Atoms (fractional coordinates):
Mn 0.0000 0.0000 0.0000
Co 0.0000 0.5000 0.5000
Co 0.5000 0.0000 0.5000
W 0.5000 0.5000 0.0000



Most stable: two. Least stable: one.



one | VASP calculation (GGA-PBE) on a relaxed structure of MnCo2W.

Cell: 2.5977 3.6012 5.1404 Å, 90.00 90.00 90.00°
Atoms (fractional coordinates):
Mn 0.0000 0.0000 0.0000
Co 0.5000 0.5000 0.2346
Co 0.5000 0.5000 0.7654
W 0.0000 0.0000 0.5000



two | VASP calculation (GGA-PBE) on a relaxed structure of MnCo2W.

Cell: 4.5399 4.5399 4.5399 Å, 133.26 133.26 68.25°
Atoms (fractional coordinates):
Mn 0.0000 0.0000 0.0000
Co 0.5000 0.5000 0.0000
Co 0.7500 0.2500 0.5000
W 0.2500 0.7500 0.5000



Most stable: two. Least stable: one.



one | VASP calculation (GGA-PBE) on a relaxed structure of MnCo2W.

Cell: 3.6158 3.6158 3.6390 Å, 90.00 90.00 90.00°
Atoms (fractional coordinates):
Mn 0.0000 0.0000 0.0000
Co 0.0000 0.5000 0.5000
Co 0.5000 0.0000 0.5000
W 0.5000 0.5000 0.0000



two | VASP calculation (GGA-PBE) on a relaxed structure of MnCo2W.

Cell: 4.3739 4.3739 4.5014 Å, 99.21 99.21 34.45°
Atoms (fractional coordinates):
Mn 0.0000 0.0000 0.0000
Co 0.4887 0.4887 0.4442
Co 0.7391 0.7391 0.1898
W 0.2425 0.2425 0.6944



Most stable: one. Least stable: two.